# RbWN2F | Alexandria via LeMat-Bulk | PBE with a Hubbard U | optimized geometry
# uncorrected energy: -29.544 eV/cell
data_RbWN2F
_symmetry_space_group_name_H-M 'P 1'
_symmetry_Int_Tables_number 1
_cell_length_a 4.015
_cell_length_b 4.015
_cell_length_c 4.468
_cell_angle_alpha 90.00
_cell_angle_beta 90.00
_cell_angle_gamma 90.00
loop_
_symmetry_equiv_pos_as_xyz
'x,y,z'
loop_
_atom_site_label
_atom_site_type_symbol
_atom_site_fract_x
_atom_site_fract_y
_atom_site_fract_z
F1 F 0.000 0.000 0.500
N1 N 0.500 0.000 0.000
N2 N 0.000 0.500 0.000
Rb1 Rb 0.500 0.500 0.500
W1 W 0.000 0.000 0.000